An optimized crystal structure of La2Tb3Sm6Sc, computed with GGA-PBE.

## Properties
Electronic total energy   -4.837 eV/atom
Size of the total moment   0.000 μB per formula unit
Space group   C2/m, No. 12
ΔH_f (0 K)   0.029 eV per atom

Cell lengths 6.237, 6.237, 11.960 Å; angles 95.03, 95.03, 120.00 degrees
Fractional coordinates of all 12 atoms:
1 La 0.167 0.833 0.000
2 La 0.833 0.167 0.000
3 Tb 0.000 0.000 0.500
4 Tb 0.334 0.666 0.500
5 Tb 0.666 0.334 0.500
6 Sm 0.088 0.417 0.748
7 Sm 0.254 0.254 0.252
8 Sm 0.417 0.088 0.748
9 Sm 0.583 0.912 0.252
10 Sm 0.746 0.746 0.748
11 Sm 0.912 0.583 0.252
12 Sc 0.500 0.500 0.000